# 1
ZnGaAg4 (PBE, relaxed); formation enthalpy at 0 K = -0.0116 eV per atom; total energy = -2.629 eV/atom; spin magnetization = 0.00 μB per atom; distance to the lowest polymorph of the same formula = 29.9 meV per atom
1.0
8.2049 1.1114 2.1815
-1.6790 5.0278 -0.0660
-1.7440 -2.7971 4.1517
Ag Zn Ga
8 2 2
direct
0.3744 0.0413 0.8332
0.7099 0.9593 0.7506
0.2085 0.9583 0.2503
0.8823 0.5454 0.8369
0.2085 0.4583 0.7503
0.7099 0.4592 0.2507
0.8823 0.0454 0.3369
0.3744 0.5413 0.3332
0.0371 0.1227 0.9145
0.0371 0.6227 0.4145
0.5377 0.1232 0.4145
0.5377 0.6232 0.9146

---

# 2
Ac3NdRu (PBE, relaxed); formation enthalpy at 0 K = 0.0149 eV per atom; total energy = -5.259 eV/atom; spin magnetization = 0.00 μB per atom; distance to the lowest polymorph of the same formula = 156.2 meV per atom
1.0
7.2171 0.0000 0.0000
0.0000 11.2703 0.0249
0.0000 -4.4723 9.3240
Ac Ru Nd
12 4 4
direct
0.9070 0.3608 0.0574
0.0930 0.6392 0.9426
0.6194 0.2550 0.3525
0.4070 0.1392 0.9426
0.1194 0.2450 0.6475
0.3806 0.7450 0.6475
0.4262 0.5446 0.2058
0.9262 0.9554 0.7942
0.8806 0.7550 0.3525
0.5738 0.4554 0.7942
0.0738 0.0446 0.2058
0.5930 0.8608 0.0574
0.2688 0.3776 0.9210
0.7688 0.1224 0.0790
0.7312 0.6224 0.0790
0.2312 0.8776 0.9210
0.6552 0.0896 0.5896
0.8448 0.5896 0.5896
0.1552 0.4104 0.4104
0.3448 0.9104 0.4104

---

# 3
MgAsCl3 (PBE, relaxed); E_form (uncorrected) = -0.3011 eV/atom; total energy = -2.658 eV/atom; spin magnetization = 0.13 μB per atom; distance to the lowest polymorph of the same formula = 316.5 meV per atom
1.0
-4.3677 -1.2478 -2.3876
-0.2254 -4.3629 2.6923
-2.6845 2.3963 3.6586
Cl As Mg
3 1 1
direct
0.5000 0.0000 0.0000
0.0000 0.0000 0.5000
0.0000 0.5000 0.0000
0.0000 0.0000 0.0000
0.5000 0.5000 0.5000

---

# 4
TiNbZn2 (PBE, relaxed); formation enthalpy at 0 K = 0.2543 eV per atom; total energy = -4.874 eV/atom; spin magnetization = 0.00 μB per atom
1.0
-7.0766 0.6190 -1.4160
0.9521 -3.4815 -6.2800
-3.4958 -3.6828 -2.6655
Zn Ti Nb
4 2 2
direct
0.1311 0.6250 0.2500
0.8750 0.8689 0.7500
0.6189 0.1250 0.2500
0.3750 0.3811 0.7500
0.5000 0.5000 0.0000
0.2500 0.7500 0.5000
0.7500 0.2500 0.5000
0.0000 0.0000 0.0000

---

# 5
CrTc2Br (PBE, relaxed); E_form (uncorrected) = 0.8435 eV/atom; total energy = -7.164 eV/atom; spin magnetization = 0.14 μB per atom; distance to the lowest polymorph of the same formula = 376.6 meV per atom
1.0
-2.8708 0.2776 -0.5803
-0.9810 -2.4909 3.6617
-0.1438 3.7149 2.4886
Cr Br Tc
1 1 2
direct
0.0000 0.5000 0.5000
0.5000 0.0000 0.5000
0.5000 0.5000 0.0000
0.0000 0.0000 0.0000

---

# 6
Ba2LaMn (PBE, relaxed); formation enthalpy at 0 K = 0.4017 eV per atom; total energy = -4.084 eV/atom; spin magnetization = 0.42 μB per atom; distance to the lowest polymorph of the same formula = 118.1 meV per atom
1.0
4.6744 -0.4784 0.1872
2.7418 3.8160 0.1872
2.0926 0.9418 9.2248
Mn La Ba
1 1 2
direct
0.2081 0.2081 0.3766
0.5411 0.5411 0.3753
0.7811 0.7811 0.6567
0.9697 0.9697 0.0914

---

# 7
SrMgMn (PBE, relaxed); formation enthalpy at 0 K = 0.9741 eV per atom; total energy = -3.175 eV/atom; spin magnetization = 1.31 μB per atom; distance to the lowest polymorph of the same formula = 625.0 meV per atom
1.0
-1.8628 3.3345 3.7486
-2.4000 -1.9543 4.3660
2.4344 0.3079 4.7560
Sr Mn Mg
1 1 1
direct
0.7500 0.7500 0.7500
0.5000 0.5000 0.5000
0.0000 0.0000 0.0000

---

# 8
La2BeCu (PBE, relaxed); formation enthalpy at 0 K = 0.2932 eV per atom; total energy = -4.126 eV/atom; spin magnetization = 0.00 μB per atom; distance to the lowest polymorph of the same formula = 271.8 meV per atom
1.0
-3.4095 -4.1374 6.6580
-4.1277 -6.5063 3.7017
-0.6807 -6.5682 5.4284
Be La Cu
1 2 1
direct
0.2500 0.2500 0.2500
0.5013 0.5013 0.5013
0.9987 0.9987 0.9987
0.7500 0.7500 0.7500

---

Which of these has the highest total energy? ZnGaAg4

---

spin magnetization of number 7 (SrMgMn)? 1.31 μB per atom

---

Repeat the seventh record exactly.
SrMgMn (PBE, relaxed); formation enthalpy at 0 K = 0.9741 eV per atom; total energy = -3.175 eV/atom; spin magnetization = 1.31 μB per atom; distance to the lowest polymorph of the same formula = 625.0 meV per atom
1.0
-1.8628 3.3345 3.7486
-2.4000 -1.9543 4.3660
2.4344 0.3079 4.7560
Sr Mn Mg
1 1 1
direct
0.7500 0.7500 0.7500
0.5000 0.5000 0.5000
0.0000 0.0000 0.0000